Computed, not measured: YAl2As after structural relaxation at the PBE level of DFT.

Calculated values
Calculated formation energy   -1.13 eV per formula unit
Crystal system   tetragonal

Unit cell a=3.5452 b=3.5452 c=6.4920 alpha=90.00 beta=90.00 gamma=90.00
Last column: nearest neighbours and their distance in Å.
Space group P4/mmm (No. 123)
One atom of each set of equivalent atoms:
Y 0.0000 0.0000 0.0000 (multiplicity 1)  8 Al 3.17, 2 As 3.25, 4 Y 3.55
Al 0.5000 0.5000 0.2983 (multiplicity 2)  1 Al 2.62, 4 As 2.83
As 0.0000 0.0000 0.5000 (multiplicity 1)  8 Al 2.83


Computed, not measured: SrWSN2 after structural relaxation at the PBE level of DFT.

Calculated values
ΔE_f (raw)   -650 meV per atom
E above lowest polymorph   0.000 eV/atom
Crystal system   tetragonal

Unit cell a=4.0293 b=4.0293 c=4.9218 alpha=90.00 beta=90.00 gamma=90.00
Last column: nearest neighbours and their distance in Å.
Space group P4/mmm (No. 123)
One atom of each set of equivalent atoms:
Sr 0.0000 0.0000 0.0000 (multiplicity 1)  4 S 2.85, 8 N 3.18
W 0.5000 0.5000 0.5000 (multiplicity 1)  4 N 2.01
S 0.5000 0.5000 0.0000 (multiplicity 1)  2 W 2.46
N 0.0000 0.5000 0.5000 (multiplicity 2)  2 W 2.01


Computed, not measured: Ce2PmZn3 after structural relaxation at the PBE level of DFT.

Calculated values
Calculated formation energy   -1.32 eV per formula unit
Crystal system   tetragonal

Unit cell a=3.6236 b=3.6236 c=10.9318 alpha=90.00 beta=90.00 gamma=90.00
Last column: nearest neighbours and their distance in Å.
Space group P4/mmm (No. 123)
One atom of each set of equivalent atoms:
Ce 0.0000 0.0000 0.1638 (multiplicity 2)  8 Zn 3.13-3.15
Pm 0.0000 0.0000 0.5000 (multiplicity 1)  8 Zn 3.16
Zn 0.5000 0.5000 0.0000 (multiplicity 1)  8 Ce 3.13
Zn 0.5000 0.5000 0.3310 (multiplicity 2)  4 Ce 3.15, 4 Pm 3.16


Computed, not measured: KRb4S2 after structural relaxation at the PBE level of DFT.

Calculated values
ΔE_f (raw)   -806 meV per atom
Crystal system   trigonal

Unit cell a=5.6396 b=5.6396 c=33.7491 alpha=90.00 beta=90.00 gamma=120.00
Last column: nearest neighbours and their distance in Å.
Space group R-3m (No. 166, hexagonal axes)
One atom of each set of equivalent atoms:
K 0.0000 0.0000 0.0000 (multiplicity 3)  2 S 3.39
Rb 0.0000 0.0000 0.2009 (multiplicity 6)  4 S 3.39-3.43
Rb 0.0000 0.0000 0.4067 (multiplicity 6)  3 S 3.38
S 0.0000 0.0000 0.1005 (multiplicity 6)  7 Rb 3.38-3.43, 1 K 3.39


Computed, not measured: B2C after structural relaxation at the PBE level of DFT.

Calculated values
E above lowest polymorph   0.248 eV/atom
Calculated formation energy   1.30 eV per formula unit
Crystal system   monoclinic

Unit cell a=5.1375 b=2.5840 c=6.6698 alpha=90.00 beta=108.69 gamma=90.00
Last column: nearest neighbours and their distance in Å.
Space group Pm (No. 6)
One atom of each set of equivalent atoms:
B 0.0000 0.0000 0.0000 (multiplicity 1)  3 C 1.54-1.67
B 0.0051 0.5000 0.6641 (multiplicity 1)  2 C 1.59-1.65
B 0.2021 0.0000 0.5838 (multiplicity 1)  1 C 1.73, 3 B 1.82-1.84
B 0.2319 0.0000 0.3162 (multiplicity 1)  1 C 1.57
B 0.4173 0.5000 0.0094 (multiplicity 1)  1 C 1.60
B 0.4680 0.5000 0.3078 (multiplicity 1)  1 C 1.71, 3 B 1.73-1.79
B 0.5547 0.0000 0.8850 (multiplicity 1)  1 C 1.60
B 0.7507 0.5000 0.2208 (multiplicity 1)  2 C 1.53
C 0.0891 0.5000 0.9156 (multiplicity 1)  4 B 1.54-1.60
C 0.5558 0.0000 0.6457 (multiplicity 1)  2 C 1.57, 2 B 1.60-1.73
C 0.6672 0.5000 0.5673 (multiplicity 1)  2 C 1.57, 2 B 1.65-1.71
C 0.9111 0.0000 0.2193 (multiplicity 1)  4 B 1.53-1.67


Computed, not measured: BeRuAu after structural relaxation at the PBE level of DFT.

Calculated values
E above lowest polymorph   0.157 eV/atom
Calculated formation energy   0.57 eV per formula unit
Crystal system   cubic

Unit cell a=5.5491 b=5.5491 c=5.5491 alpha=90.00 beta=90.00 gamma=90.00
Last column: nearest neighbours and their distance in Å.
Space group F-43m (No. 216)
One atom of each set of equivalent atoms:
Be 0.0000 0.0000 0.0000 (multiplicity 4)  4 Ru 2.40, 4 Au 2.40
Ru 0.2500 0.2500 0.2500 (multiplicity 4)  4 Be 2.40
Au 0.2500 0.2500 0.7500 (multiplicity 4)  4 Be 2.40


Computed, not measured: HfSc2Hg after structural relaxation at the PBE level of DFT.

Calculated values
Calculated formation energy   1.08 eV per formula unit
Crystal system   tetragonal

Unit cell a=4.2397 b=4.2397 c=20.8326 alpha=90.00 beta=90.00 gamma=90.00
Last column: nearest neighbours and their distance in Å.
Space group I-42d (No. 122)
One atom of each set of equivalent atoms:
Hf 0.0000 0.0000 0.0000 (multiplicity 4)  4 Hg 3.00, 4 Sc 3.01
Sc 0.2469 0.2500 0.6250 (multiplicity 8)  4 Sc 2.98-3.02, 2 Hg 3.00, 2 Hf 3.01
Hg 0.0000 0.0000 0.5000 (multiplicity 4)  4 Hf 3.00, 4 Sc 3.00


Computed, not measured: B5C7 after structural relaxation at the PBE level of DFT.

Calculated values
E above lowest polymorph   0.155 eV/atom
Calculated formation energy   4.95 eV per formula unit
Crystal system   triclinic

Unit cell a=4.4618 b=4.5812 c=4.6193 alpha=62.21 beta=73.08 gamma=77.84
Last column: nearest neighbours and their distance in Å.
Space group P1 (No. 1)
One atom of each set of equivalent atoms:
B 0.0000 0.0000 0.0000 (multiplicity 1)  3 C 1.60-1.78, 1 B 1.78
B 0.0019 0.3629 0.2959 (multiplicity 1)  4 C 1.62-1.70
B 0.3651 0.7112 0.5761 (multiplicity 1)  3 C 1.58-1.60
B 0.3961 0.0854 0.7847 (multiplicity 1)  2 C 1.59-1.66, 1 B 1.77
B 0.4961 0.6852 0.0862 (multiplicity 1)  2 C 1.56-1.58
C 0.3819 0.3484 0.1717 (multiplicity 1)  2 C 1.50-1.64, 2 B 1.56-1.62
C 0.5229 0.0475 0.4275 (multiplicity 1)  2 C 1.49-1.50, 2 B 1.59-1.66
C 0.5359 0.3719 0.7939 (multiplicity 1)  2 C 1.56-1.64, 2 B 1.58-1.59
C 0.8631 0.7062 0.9918 (multiplicity 1)  1 C 1.58, 3 B 1.58-1.69
C 0.8740 0.0109 0.3568 (multiplicity 1)  2 C 1.49-1.53, 1 B 1.60
C 0.9000 0.3771 0.6645 (multiplicity 1)  2 C 1.56-1.57, 1 B 1.66
C 0.9953 0.7016 0.6375 (multiplicity 1)  3 C 1.53-1.58, 1 B 1.60


Computed, not measured: PmNd4Pd4 after structural relaxation at the PBE level of DFT.

Calculated values
Calculated formation energy   -5.30 eV per formula unit
Crystal system   tetragonal

Unit cell a=9.1321 b=9.1321 c=6.0341 alpha=90.00 beta=90.00 gamma=90.00
Last column: nearest neighbours and their distance in Å.
Space group P4_2/n (No. 86, origin choice 2)
One atom of each set of equivalent atoms:
Pm 0.2500 0.2500 0.2500 (multiplicity 2)  4 Pd 2.86
Nd 0.0627 0.6605 0.1590 (multiplicity 8)  5 Pd 2.88-3.09
Pd 0.0313 0.6290 0.6512 (multiplicity 8)  1 Pm 2.86, 5 Nd 2.88-3.09, 1 Pd 3.03


Computed, not measured: Ta2VCoH after structural relaxation at the PBE level of DFT.

Calculated values
E above lowest polymorph   0.000 eV/atom
Crystal system   tetragonal

Unit cell a=4.3074 b=4.3074 c=3.3452 alpha=90.00 beta=90.00 gamma=90.00
Last column: nearest neighbours and their distance in Å.
Space group P4/mmm (No. 123)
One atom of each set of equivalent atoms:
Ta 0.0000 0.5000 0.0000 (multiplicity 2)  2 H 2.15
V 0.0000 0.0000 0.5000 (multiplicity 1)  8 Ta 2.73, 4 Co 3.05
Co 0.5000 0.5000 0.5000 (multiplicity 1)  2 H 1.67
H 0.5000 0.5000 0.0000 (multiplicity 1)  2 Co 1.67


Computed, not measured: Pr3SmCu2 after structural relaxation at the PBE level of DFT.

Calculated values
E above lowest polymorph   0.170 eV/atom
Calculated formation energy   0.48 eV per formula unit
Crystal system   orthorhombic

Unit cell a=6.9915 b=13.9140 c=7.4712 alpha=90.00 beta=90.00 gamma=90.00
Last column: nearest neighbours and their distance in Å.
Space group Ibam (No. 72)
One atom of each set of equivalent atoms:
Pr 0.0000 0.0000 0.2500 (multiplicity 4)  4 Cu 3.05
Pr 0.0000 0.2669 0.2500 (multiplicity 8)  4 Cu 2.94-3.07
Sm 0.0000 0.5000 0.0000 (multiplicity 4)  2 Cu 2.84
Cu 0.2043 0.1398 0.0000 (multiplicity 8)  1 Sm 2.84, 6 Pr 2.94-3.07


Computed, not measured: Y3InO after structural relaxation at the PBE level of DFT.

Calculated values
ΔE_f (raw)   -1354 meV per atom
Crystal system   triclinic

Unit cell a=6.4804 b=6.7105 c=6.8518 alpha=92.40 beta=116.93 gamma=98.28
Last column: nearest neighbours and their distance in Å.
Space group P-1 (No. 2)
One atom of each set of equivalent atoms:
Y 0.0279 0.2055 0.3564 (multiplicity 2)  1 O 2.19
Y 0.1647 0.3668 0.9152 (multiplicity 2)  2 O 2.24-2.27
Y 0.4252 0.8902 0.2170 (multiplicity 2)  1 O 2.20
In 0.3966 0.6246 0.6084 (multiplicity 2)  1 In 3.01, 5 Y 3.21-3.34
O 0.1078 0.6864 0.9685 (multiplicity 2)  4 Y 2.19-2.27


| no. | mass density (kg/m³) |
| --- | --- |
| 1 | 4432 |
| 2 | 6890 |
| 3 | 7189 |
| 4 | 2385 |
| 5 | 2664 |
| 6 | 11936 |
| 7 | 8319 |
| 8 | 2882 |
| 9 | 7574 |
| 10 | 12649 |
| 11 | 6399 |
| 12 | 5060 |